1.
Material: LiTiZnH
Method: DFT, PBE
State: relaxed

Values from the calculation:
SG = No. 1
VASP energy = -0.138 Ha/atom
V = 49.2 Å³/f.u.

Geometry as extended XYZ:
```
4
Lattice="2.721 0.000 0.000 1.357 2.518 0.000 0.018 1.458 7.180" Properties=species:S:1:pos:R:3 pbc="T T T"
Li 0.000 0.000 0.000
Ti 1.378 2.572 4.606
Zn 1.383 0.995 2.266
H 2.737 3.442 5.777
```

2.
Material: Li2TiZnH
Method: DFT, PBE
State: relaxed

Values from the calculation:
SG = No. 123
VASP energy = -0.123 Ha/atom
V = 63.6 Å³/f.u.

Geometry as extended XYZ:
```
5
Lattice="3.914 0.000 0.000 0.000 3.914 0.000 0.000 0.000 4.150" Properties=species:S:1:pos:R:3 pbc="T T T"
Li 0.000 1.957 0.000
Li 1.957 0.000 0.000
Ti 0.000 0.000 2.075
Zn 1.957 1.957 2.075
H 0.000 0.000 0.000
```

Q: Among the records above, which one has the highest V?
A: Li2TiZnH

Q: Which of these has the highest VASP energy?
A: Li2TiZnH

Q: Number 2 is which compound?
A: Li2TiZnH